(1)
# GaCoCuPt, optimized geometry, DFT PBE
data_GaCoCuPt
_chemical_formula_sum 'Ga4 Co4 Cu4 Pt4'
_cell_length_a 5.9294
_cell_length_b 5.9294
_cell_length_c 5.9294
_cell_angle_alpha 90.00
_cell_angle_beta 90.00
_cell_angle_gamma 90.00
_symmetry_space_group_name_H-M 'F -4 3 m'
_symmetry_Int_Tables_number 216
_symmetry_space_group_name_Hall 'F -4 2 3'
loop_
_atom_site_label
_atom_site_type_symbol
_atom_site_fract_x
_atom_site_fract_y
_atom_site_fract_z
Ga1 Ga 0.0000 0.0000 0.0000
Co1 Co 0.2500 0.2500 0.2500
Cu1 Cu 0.0000 0.0000 0.5000
Pt1 Pt 0.2500 0.2500 0.7500
# M_tot: 0.12 μB/f.u.
# Calculated total energy: -20.86 eV per formula unit
# Energy above the most stable polymorph in this dataset: 0 meV/atom

(2)
# Y3Zn3Ir2Au, optimized geometry, DFT PBE
data_Y3Zn3Ir2Au
_chemical_formula_sum 'Y3 Zn3 Ir2 Au1'
_cell_length_a 7.2872
_cell_length_b 7.2872
_cell_length_c 3.8652
_cell_angle_alpha 90.00
_cell_angle_beta 90.00
_cell_angle_gamma 120.00
_symmetry_space_group_name_H-M 'P -6 2 m'
_symmetry_Int_Tables_number 189
_symmetry_space_group_name_Hall 'P -6 -2'
loop_
_atom_site_label
_atom_site_type_symbol
_atom_site_fract_x
_atom_site_fract_y
_atom_site_fract_z
Y1 Y 0.0000 0.5892 0.0000
Zn1 Zn 0.0000 0.2635 0.5000
Ir1 Ir 0.3333 0.6667 0.5000
Au1 Au 0.0000 0.0000 0.0000
# M_tot: 0.01 μB/f.u.
# Calculated total energy: -50.39 eV per formula unit
# Calculated formation energy: -0.692 eV/atom

(3)
# PmZr, optimized geometry, DFT PBE
data_PmZr
_chemical_formula_sum 'Pm8 Zr8'
_cell_length_a 5.4626
_cell_length_b 13.6718
_cell_length_c 6.0564
_cell_angle_alpha 90.00
_cell_angle_beta 90.00
_cell_angle_gamma 90.00
_symmetry_space_group_name_H-M 'P m m n'
_symmetry_Int_Tables_number 59
loop_
_symmetry_equiv_pos_as_xyz
'x,y,z'
'-x,-y,-z'
'-x+1/2,-y+1/2,z'
'x+1/2,y+1/2,-z'
'x+1/2,-y,-z'
'-x+1/2,y,z'
'-x,y+1/2,-z'
'x,-y+1/2,z'
loop_
_atom_site_label
_atom_site_type_symbol
_atom_site_fract_x
_atom_site_fract_y
_atom_site_fract_z
Pm1 Pm 0.2500 0.0995 0.1298
Pm2 Pm 0.2500 0.2500 0.6736
Pm3 Pm 0.2500 0.7500 0.6986
Zr1 Zr 0.2500 0.0074 0.6337
Zr2 Zr 0.2500 0.6286 0.2145
# M_tot: 0.00 μB/f.u.
# Calculated total energy: -13.06 eV per formula unit
# Calculated formation energy: 0.117 eV/atom
# Energy above the most stable polymorph in this dataset: 36 meV/atom

(4)
# DyScCu, optimized geometry, DFT PBE
data_DyScCu
_chemical_formula_sum 'Dy4 Sc4 Cu4'
_cell_length_a 6.5999
_cell_length_b 6.5999
_cell_length_c 6.5999
_cell_angle_alpha 90.00
_cell_angle_beta 90.00
_cell_angle_gamma 90.00
_symmetry_space_group_name_H-M 'F -4 3 m'
_symmetry_Int_Tables_number 216
_symmetry_space_group_name_Hall 'F -4 2 3'
loop_
_atom_site_label
_atom_site_type_symbol
_atom_site_fract_x
_atom_site_fract_y
_atom_site_fract_z
Dy1 Dy 0.0000 0.0000 0.0000
Sc1 Sc 0.0000 0.0000 0.5000
Cu1 Cu 0.2500 0.2500 0.2500
# M_tot: 0.00 μB/f.u.
# Calculated total energy: -14.44 eV per formula unit
# Calculated formation energy: 0.068 eV/atom
# Energy above the most stable polymorph in this dataset: 0 meV/atom

Look up the calculated total energy of the third one. -13.06 eV per formula unit